Record 1
# Ta2Mn5AlSi2 | Alexandria via LeMat-Bulk | PBE-GGA | optimized geometry
# total moment	7.0	μB per formula unit
# E_form (uncorrected)	-288	meV/atom
data_Ta2Mn5AlSi2
_space_group_name_H-M_alt 'P 4/m b m'
_space_group_IT_number 127
_space_group_name_Hall '-P 4 2ab'
_cell_length_a 8.885
_cell_length_b 8.885
_cell_length_c 3.399
_cell_angle_alpha 90.00
_cell_angle_beta 90.00
_cell_angle_gamma 90.00
loop_
_atom_site_label
_atom_site_type_symbol
_atom_site_fract_x
_atom_site_fract_y
_atom_site_fract_z
_atom_site_occupancy
Ta1 Ta 0.175 0.325 0.000 1
Mn1 Mn 0.000 0.500 0.500 1
Mn2 Mn 0.064 0.791 0.500 1
Al1 Al 0.000 0.000 0.000 1
Si1 Si 0.122 0.622 0.000 1



Record 2
# Be3Br | Alexandria via LeMat-Bulk | PBE-GGA | optimized geometry
# total moment	0.0	μB per formula unit
# E_form (uncorrected)	825	meV/atom
data_Be3Br
_space_group_name_H-M_alt 'C m m m'
_space_group_IT_number 65
_space_group_name_Hall '-C 2 2'
_cell_length_a 3.029
_cell_length_b 5.574
_cell_length_c 7.155
_cell_angle_alpha 90.00
_cell_angle_beta 90.00
_cell_angle_gamma 90.00
loop_
_atom_site_label
_atom_site_type_symbol
_atom_site_fract_x
_atom_site_fract_y
_atom_site_fract_z
_atom_site_occupancy
Be1 Be 0.000 0.000 0.000 1
Be2 Be 0.000 0.500 0.228 1
Br1 Br 0.000 0.000 0.500 1



Record 3
# DyU2N4 | Alexandria via LeMat-Bulk | PBE-GGA | optimized geometry
# total moment	2.6	μB per formula unit
# E_form (uncorrected)	-1400	meV/atom
data_DyU2N4
_space_group_name_H-M_alt 'C m c m'
_space_group_IT_number 63
_space_group_name_Hall '-C 2c 2'
_cell_length_a 3.385
_cell_length_b 11.335
_cell_length_c 10.551
_cell_angle_alpha 90.00
_cell_angle_beta 90.00
_cell_angle_gamma 90.00
loop_
_atom_site_label
_atom_site_type_symbol
_atom_site_fract_x
_atom_site_fract_y
_atom_site_fract_z
_atom_site_occupancy
Dy1 Dy 0.000 0.109 0.250 1
U1 U 0.000 0.369 0.071 1
N1 N 0.000 0.000 0.000 1
N2 N 0.000 0.272 0.608 1
N3 N 0.000 0.465 0.250 1



Question: The lowest E_form (uncorrected) belongs to which entry?
Answer: DyU2N4



Question: What is the formula in the second record?
Answer: Be3Br



Question: E_form (uncorrected) of number 1 (Ta2Mn5AlSi2)?
Answer: -288 meV/atom